# 1
Compound: HfAl2Ag
Source: Alexandria via LeMat-Bulk
Functional: PBE
Structure: relaxed

```
4
Lattice="-2.429 -1.069 1.535 1.849 -1.753 1.706 0.694 5.583 4.985" Properties=species:S:1:pos:R:3 pbc="T T T"
Hf 0.057 1.380 4.113
Al 0.530 4.269 3.812
Al 0.163 1.313 1.173
Ag -0.290 -1.411 1.620
```

Summary:
- symmetry = P4/mmm, No. 123
- distance to the lowest polymorph of the same formula (meV/atom) = 63
- formation energy (eV/atom) = -0.219
- crystal system = tetragonal
- calculated total energy (eV/cell) = -21.16

# 2
Compound: CrCuSi
Source: Alexandria via LeMat-Bulk
Functional: PBE
Structure: relaxed

```
3
Lattice="4.661 -0.001 0.002 2.650 3.835 -0.002 -3.345 -2.510 2.059" Properties=species:S:1:pos:R:3 pbc="T T T"
Cr 7.267 3.810 0.000
Cu 4.921 2.580 0.000
Si 2.436 1.277 0.000
```

Summary:
- energy relative to the elements, uncorrected (eV/atom) = 0.140
- symmetry = Imm2, No. 44
- crystal system = orthorhombic
- calculated total energy (eV/cell) = -18.72

# 3
Compound: CsPmSmI6
Source: Alexandria via LeMat-Bulk
Functional: PBE
Structure: relaxed

```
18
Lattice="11.500 0.000 0.000 0.000 11.312 0.000 -5.750 -5.656 8.157" Properties=species:S:1:pos:R:3 pbc="T T T"
Cs 5.750 2.828 5.225
Cs 0.000 2.828 2.932
Pm 5.750 5.656 0.000
Pm 5.750 0.000 0.000
Sm 2.875 -2.828 4.079
Sm -2.875 -2.828 4.079
I 0.000 2.828 6.814
I 5.750 -2.828 5.238
I 8.087 -0.508 2.054
I 3.413 6.164 2.054
I 3.413 -0.508 2.054
I 8.087 6.164 2.054
I 5.750 2.828 1.343
I 0.000 8.484 2.920
I -2.337 6.164 6.103
I 2.337 -0.508 6.103
I 2.337 6.164 6.103
I -2.337 -0.508 6.103
```

Summary:
- energy relative to the elements, uncorrected (eV/atom) = -1.278
- symmetry = Imma, No. 74
- crystal system = orthorhombic
- calculated total energy (eV/cell) = -62.25

# 4
Compound: TiAlGa3
Source: Alexandria via LeMat-Bulk
Functional: PBE
Structure: relaxed

```
10
Lattice="-0.147 -3.510 3.575 -0.908 -3.712 -3.682 6.444 0.651 -2.245" Properties=species:S:1:pos:R:3 pbc="T T T"
Ti -0.653 -3.155 -2.395
Ti 6.043 -3.417 0.043
Al 4.534 -1.501 -1.517
Al 0.855 -5.071 -0.835
Ga 1.502 -4.188 -3.783
Ga 3.437 -4.227 -0.397
Ga 3.888 -2.383 1.431
Ga 1.953 -2.345 -1.954
Ga 0.668 -2.492 0.436
Ga 4.721 -4.079 -2.787
```

Summary:
- symmetry = P2_1/m, No. 11
- distance to the lowest polymorph of the same formula (meV/atom) = 0
- formation energy (eV/atom) = -0.081
- crystal system = monoclinic
- calculated total energy (eV/cell) = -42.25

# 5
Compound: Rb3Ti2Cl7
Source: Alexandria via LeMat-Bulk
Functional: PBE
Structure: relaxed

```
12
Lattice="-1.157 3.208 3.616 -0.007 -3.800 3.370 13.071 3.962 0.668" Properties=species:S:1:pos:R:3 pbc="T T T"
Rb -0.582 -0.296 3.493
Rb 4.145 0.450 4.344
Rb 7.762 2.920 3.310
Ti 10.538 -0.237 3.583
Ti 2.526 0.399 0.455
Cl 10.604 1.673 1.909
Cl 8.072 -0.626 3.139
Cl 0.000 0.000 0.000
Cl 2.461 -1.511 2.128
Cl 1.902 1.996 2.255
Cl 10.005 1.374 5.399
Cl 4.992 0.788 0.899
```

Summary:
- energy relative to the elements, uncorrected (eV/atom) = -1.642
- symmetry = Cmmm, No. 65
- crystal system = orthorhombic
- calculated total energy (eV/cell) = -51.32

# 6
Compound: SiPt2
Source: Alexandria via LeMat-Bulk
Functional: PBE
Structure: relaxed

```
3
Lattice="3.001 0.000 0.000 -1.500 2.599 0.000 0.000 0.000 5.863" Properties=species:S:1:pos:R:3 pbc="T T T"
Pt 0.000 1.733 4.128
Pt 1.500 0.866 1.735
Si 0.000 0.000 0.000
```

Summary:
- energy relative to the elements, uncorrected (eV/atom) = -0.428
- symmetry = P-3m1, No. 164
- crystal system = trigonal
- calculated total energy (eV/cell) = -18.79

# 7
Compound: Pa3In5Te12
Source: Alexandria via LeMat-Bulk
Functional: PBE
Structure: relaxed

```
80
Lattice="15.437 0.000 0.000 -5.146 14.554 0.000 -5.146 -7.277 12.604" Properties=species:S:1:pos:R:3 pbc="T T T"
Pa 9.005 4.548 1.576
Pa 9.005 10.006 1.576
Pa -1.286 6.368 7.878
Pa 1.286 -0.910 4.727
Pa 11.578 0.000 3.151
Pa 1.286 7.277 3.151
Pa 3.859 0.000 9.453
Pa -6.432 7.277 9.453
Pa 3.859 8.187 7.878
Pa 6.432 0.910 4.727
Pa -3.859 -2.729 11.029
Pa -3.859 2.729 11.029
In -1.286 3.639 3.151
In -2.573 7.277 0.000
In 0.000 0.000 0.000
In 3.859 2.729 1.576
In 5.146 -3.639 6.302
In 5.146 7.277 0.000
In -3.859 8.187 4.727
In 6.432 -4.548 11.029
In 6.432 6.368 4.727
In 1.286 -3.639 9.453
In 3.859 10.916 3.151
In 2.573 3.639 6.302
In 7.719 0.000 0.000
In -2.573 -3.639 6.302
In -1.286 0.910 7.878
In -1.286 11.825 1.576
In -5.146 3.639 6.302
In 9.005 -0.910 7.878
In 1.286 4.548 11.029
In 6.432 3.639 9.453
Te 10.210 1.613 0.655
Te 0.082 5.012 5.233
Te 11.348 3.280 3.475
Te 6.662 2.269 1.724
Te 1.883 5.649 8.475
Te 10.739 7.258 2.172
Te -1.056 8.288 5.199
Te -4.090 12.285 1.724
Te 0.690 8.905 8.475
Te 7.271 7.296 2.172
Te 7.800 3.878 4.578
Te 7.800 12.941 0.655
Te -4.456 6.525 6.957
Te 3.020 5.406 1.103
Te -5.227 10.676 4.578
Te 2.654 -2.265 7.372
Te -0.690 0.876 2.827
Te 3.020 9.168 1.069
Te 6.662 11.274 3.475
Te -0.447 5.386 1.069
Te -3.263 8.153 9.777
Te 3.629 6.266 5.199
Te 7.028 8.029 6.957
Te 5.593 -1.872 11.501
Te 1.517 1.011 7.405
Te -1.883 -0.752 5.647
Te -0.447 9.149 1.103
Te -1.517 -3.997 9.129
Te 8.409 -0.876 2.827
Te 5.593 1.891 11.535
Te 2.125 -1.891 11.535
Te 2.491 9.542 5.233
Te 5.836 6.401 9.777
Te 10.373 -3.399 8.026
Te 9.601 0.752 5.647
Te -2.654 -5.664 11.950
Te 2.125 1.872 11.501
Te 4.455 -1.628 4.130
Te -2.125 -0.019 10.432
Te -2.654 3.399 8.026
Te 9.235 -5.008 10.880
Te 6.202 -1.011 7.405
Te -1.517 5.008 10.880
Te -5.593 0.019 10.432
Te 3.263 1.628 4.130
Te -6.202 3.997 9.129
Te 5.064 2.265 7.372
Te -5.064 5.664 11.950
```

Summary:
- energy relative to the elements, uncorrected (eV/atom) = -0.420
- symmetry = Ia-3d, No. 230
- crystal system = cubic
- calculated total energy (eV/cell) = -353.15

# 8
Compound: LaZrRe4
Source: Alexandria via LeMat-Bulk
Functional: PBE
Structure: relaxed

```
6
Lattice="-1.016 -5.247 -0.992 -4.214 -2.453 2.400 -4.350 -1.419 -2.934" Properties=species:S:1:pos:R:3 pbc="T T T"
La 0.000 0.000 0.000
Zr -7.185 -6.839 -1.144
Re -4.103 -6.038 -1.067
Re -5.764 -4.130 -2.035
Re -5.697 -4.646 0.623
Re -3.597 -3.423 -0.573
```

Summary:
- symmetry = F-43m, No. 216
- formation energy (eV/atom) = 0.009
- crystal system = cubic
- calculated total energy (eV/cell) = -63.21

# 9
Compound: Zn2CdSb
Source: Alexandria via LeMat-Bulk
Functional: PBE
Structure: relaxed

```
4
Lattice="3.970 0.000 0.000 0.000 3.970 0.000 0.000 0.000 5.619" Properties=species:S:1:pos:R:3 pbc="T T T"
Cd 0.000 0.000 2.489
Sb 1.985 1.985 4.565
Zn 0.000 0.000 5.320
Zn 1.985 1.985 1.673
```

Summary:
- energy relative to the elements, uncorrected (eV/atom) = 0.151
- symmetry = P4mm, No. 99
- distance to the lowest polymorph of the same formula (meV/atom) = 54
- crystal system = tetragonal
- calculated total energy (eV/cell) = -6.98

# 10
Compound: Ti2BiCl
Source: Alexandria via LeMat-Bulk
Functional: PBE
Structure: relaxed

```
4
Lattice="-3.315 0.842 3.346 -4.423 -1.751 -0.520 -1.511 -3.558 2.820" Properties=species:S:1:pos:R:3 pbc="T T T"
Cl 0.000 0.000 0.000
Bi -4.625 -2.234 2.823
Ti -2.312 -1.117 1.412
Ti -6.937 -3.350 4.235
```

Summary:
- energy relative to the elements, uncorrected (eV/atom) = -0.143
- symmetry = Fm-3m, No. 225
- distance to the lowest polymorph of the same formula (meV/atom) = 0
- crystal system = cubic
- calculated total energy (eV/cell) = -22.09

# 11
Compound: CeTmCuSi
Source: Alexandria via LeMat-Bulk
Functional: PBE
Structure: relaxed

```
4
Lattice="4.946 0.000 0.000 2.473 4.283 0.000 2.473 1.428 4.038" Properties=species:S:1:pos:R:3 pbc="T T T"
Si 7.418 4.283 3.029
Tm 4.946 2.855 2.019
Cu 2.473 1.428 1.010
Ce 0.000 0.000 0.000
```

Summary:
- energy relative to the elements, uncorrected (eV/atom) = -0.356
- symmetry = F-43m, No. 216
- crystal system = cubic
- calculated total energy (eV/cell) = -21.35

# 12
Compound: RbPaCdSe4
Source: Alexandria via LeMat-Bulk
Functional: PBE
Structure: relaxed

```
14
Lattice="7.778 0.000 0.000 -3.889 8.519 0.193 0.000 -4.428 7.282" Properties=species:S:1:pos:R:3 pbc="T T T"
Rb 3.889 5.346 0.757
Rb 0.000 -1.255 6.718
Pa 3.889 -2.214 3.641
Pa 3.889 0.000 0.000
Cd 1.944 2.045 3.737
Cd -1.944 2.045 3.737
Se 3.889 0.361 4.849
Se 2.108 -1.068 1.845
Se 5.670 -1.068 1.845
Se 3.889 2.258 1.730
Se 0.000 1.833 5.744
Se 1.781 5.158 5.630
Se -1.781 5.158 5.630
Se 0.000 3.730 2.625
```

Summary:
- energy relative to the elements, uncorrected (eV/atom) = -1.043
- symmetry = Imma, No. 74
- crystal system = orthorhombic
- calculated total energy (eV/cell) = -65.23